[1]
Entry from Alexandria via LeMat-Bulk: a relaxed InSe2NO crystal (GGA-PBE).

Results
Energy relative to the elements, uncorrected   1.0952 eV per atom
Density   5.912 g/cm3
Space group   P4/mmm (123)
Crystal system   tetragonal
Polymorph energy (0 for the lowest one)   0 meV per atom
Energy   -3.5030 eV per atom
Calculated volume   17.0 A^3/atom
Total magnetic moment   0.52 μB per formula unit

a = 4.436 Å, b = 4.436 Å, c = 4.322 Å
α = 90.00°, β = 90.00°, γ = 90.00°
Site moments in Bohr magnetons follow the coordinates.
Sites, in units of the cell vectors:
Se (0.500, 0.000, 0.000)  0.01
Se (0.000, 0.500, 0.000)  0.01
O (0.000, 0.000, 0.000)  -0.03
In (0.500, 0.500, 0.500)  0.00
N (0.000, 0.000, 0.500)  0.39

[2]
Entry from Alexandria via LeMat-Bulk: a relaxed InSeNO2 crystal (GGA-PBE).

Results
Energy relative to the elements, uncorrected   0.8192 eV per atom
Density   5.508 g/cm3
Space group   P4/mmm (123)
Crystal system   tetragonal
Energy   -4.0738 eV per atom
Calculated volume   14.5 A^3/atom
Total magnetic moment   0.00 μB per formula unit

a = 4.111 Å, b = 4.111 Å, c = 4.277 Å
α = 90.00°, β = 90.00°, γ = 90.00°
Sites, in units of the cell vectors:
In (0.000, 0.000, 0.000)
O (0.500, 0.000, 0.000)
O (0.000, 0.500, 0.000)
N (0.000, 0.000, 0.500)
Se (0.500, 0.500, 0.500)

[3]
Entry from Alexandria via LeMat-Bulk: a relaxed InSeNO2 crystal (GGA-PBE).

Results
Energy relative to the elements, uncorrected   0.2289 eV per atom
Density   6.412 g/cm3
Space group   P4/mmm (123)
Crystal system   tetragonal
Energy   -4.6640 eV per atom
Calculated volume   12.4 A^3/atom
Total magnetic moment   0.00 μB per formula unit

a = 3.821 Å, b = 3.821 Å, c = 4.253 Å
α = 90.00°, β = 90.00°, γ = 90.00°
Sites, in units of the cell vectors:
O (0.000, 0.500, 0.000)
O (0.500, 0.000, 0.000)
N (0.000, 0.000, 0.500)
Se (0.000, 0.000, 0.000)
In (0.500, 0.500, 0.500)

[4]
Entry from Alexandria via LeMat-Bulk: a relaxed InSeN2O crystal (GGA-PBE).

Results
Energy relative to the elements, uncorrected   1.7994 eV per atom
Density   5.555 g/cm3
Space group   P4/mmm (123)
Crystal system   tetragonal
Energy   -3.7670 eV per atom
Calculated volume   14.2 A^3/atom
Total magnetic moment   1.05 μB per formula unit

a = 4.167 Å, b = 4.167 Å, c = 4.094 Å
α = 90.00°, β = 90.00°, γ = 90.00°
Site moments in Bohr magnetons follow the coordinates.
Sites, in units of the cell vectors:
Se (0.000, 0.000, 0.500)  0.00
N (0.000, 0.500, 0.000)  0.42
N (0.500, 0.000, 0.000)  0.42
O (0.000, 0.000, 0.000)  -0.06
In (0.500, 0.500, 0.500)  -0.04

[5]
Entry from Alexandria via LeMat-Bulk: a relaxed InSeN2O crystal (GGA-PBE).

Results
Energy relative to the elements, uncorrected   0.9253 eV per atom
Density   6.612 g/cm3
Space group   P4/mmm (123)
Crystal system   tetragonal
Energy   -4.6411 eV per atom
Calculated volume   11.9 A^3/atom
Total magnetic moment   0.00 μB per formula unit

a = 3.954 Å, b = 3.954 Å, c = 3.820 Å
α = 90.00°, β = 90.00°, γ = 90.00°
Sites, in units of the cell vectors:
N (0.500, 0.000, 0.000)
N (0.000, 0.500, 0.000)
In (0.500, 0.500, 0.500)
O (0.000, 0.000, 0.500)
Se (0.000, 0.000, 0.000)

[6]
Entry from Alexandria via LeMat-Bulk: a relaxed InSeN2O crystal (GGA-PBE).

Results
Energy relative to the elements, uncorrected   1.9857 eV per atom
Density   3.721 g/cm3
Space group   P4/mmm (123)
Crystal system   tetragonal
Energy   -3.5807 eV per atom
Calculated volume   21.2 A^3/atom
Total magnetic moment   4.23 μB per formula unit

a = 4.122 Å, b = 4.122 Å, c = 6.247 Å
α = 90.00°, β = 90.00°, γ = 90.00°
Site moments in Bohr magnetons follow the coordinates.
Sites, in units of the cell vectors:
O (0.500, 0.500, 0.500)  0.43
N (0.000, 0.500, 0.000)  1.17
N (0.500, 0.000, 0.000)  1.17
In (0.000, 0.000, 0.000)  -0.01
Se (0.000, 0.000, 0.500)  0.21

[7]
Entry from Alexandria via LeMat-Bulk: a relaxed InSiN2O crystal (GGA-PBE).

Results
Energy relative to the elements, uncorrected   1.4198 eV per atom
Density   4.218 g/cm3
Space group   P4/mmm (123)
Crystal system   tetragonal
Energy   -4.5343 eV per atom
Calculated volume   14.7 A^3/atom
Total magnetic moment   2.85 μB per formula unit

a = 4.229 Å, b = 4.229 Å, c = 4.114 Å
α = 90.00°, β = 90.00°, γ = 90.00°
Site moments in Bohr magnetons follow the coordinates.
Sites, in units of the cell vectors:
O (0.000, 0.000, 0.500)  0.35
N (0.000, 0.500, 0.000)  0.93
N (0.500, 0.000, 0.000)  0.93
Si (0.500, 0.500, 0.500)  -0.07
In (0.000, 0.000, 0.000)  0.04

[8]
Entry from Alexandria via LeMat-Bulk: a relaxed InSiN2O crystal (GGA-PBE).

Results
Energy relative to the elements, uncorrected   -0.1723 eV per atom
Density   6.235 g/cm3
Space group   P4/mmm (123)
Crystal system   tetragonal
Energy   -6.1264 eV per atom
Calculated volume   10.0 A^3/atom
Total magnetic moment   0.00 μB per formula unit

a = 3.725 Å, b = 3.725 Å, c = 3.589 Å
α = 90.00°, β = 90.00°, γ = 90.00°
Sites, in units of the cell vectors:
N (0.000, 0.500, 0.000)
N (0.500, 0.000, 0.000)
O (0.000, 0.000, 0.500)
Si (0.000, 0.000, 0.000)
In (0.500, 0.500, 0.500)